# 1
! FeHgW2, relaxed, DFT PBE; values from VASP
&SYSTEM
  ibrav = 0, nat = 4, ntyp = 3
/
ATOMIC_SPECIES
Fe 55.84 Fe.upf
Hg 200.59 Hg.upf
W 183.84 W.upf
ATOMIC_POSITIONS crystal
Fe 0.5000 0.5000 0.5000
Hg 0.7500 0.7500 0.7500
W 0.0000 0.0000 0.0000
W 0.2500 0.2500 0.2500
CELL_PARAMETERS angstrom
-3.8059 -2.3636 0.5472
0.1694 -4.2036 1.6345
-1.5386 -0.8703 4.1528
! Total DFT energy (no corrections) ... -31.73 eV/cell
! Formation energy from the elements ... 71.0 kJ/mol of atoms
! Magnetic moment ... 2.4 Bohr magnetons per cell



# 2
! KAg2Se, relaxed, DFT PBE; values from VASP
&SYSTEM
  ibrav = 0, nat = 4, ntyp = 3
/
ATOMIC_SPECIES
Ag 107.87 Ag.upf
K 39.10 K.upf
Se 78.96 Se.upf
ATOMIC_POSITIONS crystal
Ag 0.0000 0.0000 0.0000
Ag 0.2500 0.7500 0.5000
K 0.5000 0.5000 0.0000
Se 0.7500 0.2500 0.5000
CELL_PARAMETERS angstrom
-3.5108 1.5605 -3.3635
0.6064 -4.3461 -2.6110
-1.1428 -0.1629 4.9741
! Total DFT energy (no corrections) ... -10.43 eV/cell
! Formation energy from raw total energies ... -0.14 eV per formula unit
! Magnetic moment ... 0.0 Bohr magnetons per cell



# 3
! Ba2LiAg, relaxed, DFT PBE; values from VASP
&SYSTEM
  ibrav = 0, nat = 4, ntyp = 3
/
ATOMIC_SPECIES
Ba 137.33 Ba.upf
Ag 107.87 Ag.upf
Li 6.94 Li.upf
ATOMIC_POSITIONS crystal
Ba 0.0000 0.9846 0.9056
Ba 0.5000 0.2687 0.3378
Ag 0.5000 0.5674 0.7400
Li 0.0000 0.6794 0.5167
CELL_PARAMETERS angstrom
-3.9334 1.5268 2.4758
-2.8750 -2.8946 -2.7826
-0.6453 -6.3163 2.8700
! Total DFT energy (no corrections) ... -9.13 eV/cell
! Formation energy from the elements ... -12.6 kJ/mol of atoms
! ΔE to the lowest computed polymorph ... 9 meV/atom
! Magnetic moment ... 0.0 Bohr magnetons per cell



# 4
! Mg2BH, relaxed, DFT PBE; values from VASP
&SYSTEM
  ibrav = 0, nat = 8, ntyp = 3
/
ATOMIC_SPECIES
H 1.01 H.upf
Mg 24.30 Mg.upf
B 10.81 B.upf
ATOMIC_POSITIONS crystal
H 0.5000 0.5000 0.0000
H 0.2500 0.7500 0.5000
Mg 0.5779 0.1250 0.2500
Mg 0.1721 0.6250 0.2500
Mg 0.3750 0.4221 0.7500
Mg 0.8750 0.8279 0.7500
B 0.0000 0.0000 0.0000
B 0.7500 0.2500 0.5000
CELL_PARAMETERS angstrom
-0.2560 -3.2201 4.8090
5.5852 -1.3991 -0.6396
3.4748 0.1516 3.7759
! Total DFT energy (no corrections) ... -22.27 eV/cell
! ΔE to the lowest computed polymorph ... 0 meV/atom
! Magnetic moment ... 0.0 Bohr magnetons per cell



# 5
! Sr2LiPtBr, relaxed, DFT PBE; values from VASP
&SYSTEM
  ibrav = 0, nat = 5, ntyp = 4
/
ATOMIC_SPECIES
Sr 87.62 Sr.upf
Br 79.90 Br.upf
Pt 195.08 Pt.upf
Li 6.94 Li.upf
ATOMIC_POSITIONS crystal
Sr 0.0000 0.5000 0.0000
Sr 0.5000 0.0000 0.0000
Br 0.0000 0.0000 0.5000
Pt 0.5000 0.5000 0.5000
Li 0.0000 0.0000 0.0000
CELL_PARAMETERS angstrom
5.7942 0.0000 0.0000
0.0000 5.7942 0.0000
0.0000 0.0000 4.4010
! Total DFT energy (no corrections) ... -14.24 eV/cell
! Formation energy from raw total energies ... -1.25 eV per formula unit
! Magnetic moment ... 0.0 Bohr magnetons per cell



# 6
! InOs2Cl, relaxed, DFT PBE; values from VASP
&SYSTEM
  ibrav = 0, nat = 4, ntyp = 3
/
ATOMIC_SPECIES
Cl 35.45 Cl.upf
Os 190.23 Os.upf
In 114.82 In.upf
ATOMIC_POSITIONS crystal
Cl 0.5000 0.5000 0.0000
Os 0.0000 0.0000 0.0000
Os 0.2500 0.7500 0.5000
In 0.7500 0.2500 0.5000
CELL_PARAMETERS angstrom
4.4668 -0.0042 0.0000
-1.0224 4.3482 0.0000
-1.7222 -2.1720 3.5027
! Total DFT energy (no corrections) ... -22.52 eV/cell
! ΔE to the lowest computed polymorph ... 866 meV/atom
! Formation energy from raw total energies ... 4.53 eV per formula unit
! Magnetic moment ... 0.0 Bohr magnetons per cell



# 7
! PuZnHgGe, relaxed, DFT PBE; values from VASP
&SYSTEM
  ibrav = 0, nat = 4, ntyp = 4
/
ATOMIC_SPECIES
Zn 65.41 Zn.upf
Ge 72.64 Ge.upf
Hg 200.59 Hg.upf
Pu 244.00 Pu.upf
ATOMIC_POSITIONS crystal
Zn 0.5000 0.5000 0.5000
Ge 0.2500 0.2500 0.2500
Hg 0.7500 0.7500 0.7500
Pu 0.0000 0.0000 0.0000
CELL_PARAMETERS angstrom
4.9577 0.0000 0.0000
2.4788 4.2935 0.0000
2.4788 1.4312 4.0479
! Total DFT energy (no corrections) ... -20.94 eV/cell
! Formation energy from the elements ... -10.1 kJ/mol of atoms
! Magnetic moment ... 5.7 Bohr magnetons per cell



# 8
! Li2Ga5Ni2Pd, relaxed, DFT PBE; values from VASP
&SYSTEM
  ibrav = 0, nat = 20, ntyp = 4
/
ATOMIC_SPECIES
Li 6.94 Li.upf
Ga 69.72 Ga.upf
Ni 58.69 Ni.upf
Pd 106.42 Pd.upf
ATOMIC_POSITIONS crystal
Li 0.0000 0.6723 0.1723
Li 0.0000 0.3277 0.8277
Li 0.0000 0.1723 0.3277
Li 0.0000 0.8277 0.6723
Ga 0.5000 0.2025 0.0707
Ga 0.5000 0.7975 0.9293
Ga 0.5000 0.0707 0.7975
Ga 0.5000 0.7025 0.4293
Ga 0.5000 0.9293 0.2025
Ga 0.5000 0.2975 0.5707
Ga 0.5000 0.5707 0.7025
Ga 0.5000 0.4293 0.2975
Ga 0.5000 0.5000 0.0000
Ga 0.5000 0.0000 0.5000
Ni 0.0000 0.1253 0.6253
Ni 0.0000 0.8747 0.3747
Ni 0.0000 0.6253 0.8747
Ni 0.0000 0.3747 0.1253
Pd 0.0000 0.0000 0.0000
Pd 0.0000 0.5000 0.5000
CELL_PARAMETERS angstrom
-3.3202 0.7484 0.2584
0.5302 -0.8988 9.4154
2.1323 9.1988 0.7580
! Total DFT energy (no corrections) ... -78.01 eV/cell
! Formation energy from the elements ... -31.7 kJ/mol of atoms
! Magnetic moment ... 0.0 Bohr magnetons per cell



# 9
! CuRu2Br, relaxed, DFT PBE; values from VASP
&SYSTEM
  ibrav = 0, nat = 4, ntyp = 3
/
ATOMIC_SPECIES
Br 79.90 Br.upf
Cu 63.55 Cu.upf
Ru 101.07 Ru.upf
ATOMIC_POSITIONS crystal
Br 0.5000 0.5000 0.2500
Cu 0.5000 0.5000 0.7500
Ru 0.0000 0.0000 0.9724
Ru 0.0000 0.0000 0.5276
CELL_PARAMETERS angstrom
-3.0434 -0.3204 0.5193
0.3938 -3.0492 0.4268
0.9229 0.9592 6.0009
! Total DFT energy (no corrections) ... -21.25 eV/cell
! ΔE to the lowest computed polymorph ... 323 meV/atom
! Formation energy from raw total energies ... 3.07 eV per formula unit
! Magnetic moment ... 0.0 Bohr magnetons per cell



# 10
! Sr3Pu2UN6, relaxed, DFT PBE; values from VASP
&SYSTEM
  ibrav = 0, nat = 12, ntyp = 4
/
ATOMIC_SPECIES
Sr 87.62 Sr.upf
Pu 244.00 Pu.upf
U 238.03 U.upf
N 14.01 N.upf
ATOMIC_POSITIONS crystal
Sr 0.1680 0.8320 0.5000
Sr 0.8320 0.1680 0.5000
Sr 0.5000 0.5000 0.5000
Pu 0.3335 0.6665 0.0000
Pu 0.6665 0.3335 0.0000
U 0.0000 0.0000 0.0000
N 0.9348 0.6174 0.8043
N 0.7483 0.7483 0.1960
N 0.0652 0.3826 0.1957
N 0.6174 0.9348 0.8043
N 0.2517 0.2517 0.8040
N 0.3826 0.0652 0.1957
CELL_PARAMETERS angstrom
6.1945 -0.0011 0.0006
-3.0967 5.3649 0.0006
-1.0327 -1.7881 5.9525
! Total DFT energy (no corrections) ... -108.53 eV/cell
! Formation energy from raw total energies ... -13.58 eV per formula unit
! Magnetic moment ... 10.0 Bohr magnetons per cell



# 11
! Er2TmTi, relaxed, DFT PBE; values from VASP
&SYSTEM
  ibrav = 0, nat = 4, ntyp = 3
/
ATOMIC_SPECIES
Tm 168.93 Tm.upf
Ti 47.87 Ti.upf
Er 167.26 Er.upf
ATOMIC_POSITIONS crystal
Tm 0.5000 0.5000 0.5000
Ti 0.0000 0.0000 0.0000
Er 0.0845 0.0845 0.7465
Er 0.9155 0.9155 0.2535
CELL_PARAMETERS angstrom
-0.5978 2.2681 2.3555
-3.1175 0.5766 0.9992
-0.1409 -7.2033 9.2458
! Total DFT energy (no corrections) ... -19.86 eV/cell
! Formation energy from the elements ... 39.3 kJ/mol of atoms
! ΔE to the lowest computed polymorph ... 251 meV/atom
! Magnetic moment ... 1.9 Bohr magnetons per cell



# 12
! Cs2K5RbNa2, relaxed, DFT PBE; values from VASP
&SYSTEM
  ibrav = 0, nat = 20, ntyp = 4
/
ATOMIC_SPECIES
Cs 132.91 Cs.upf
K 39.10 K.upf
Rb 85.47 Rb.upf
Na 22.99 Na.upf
ATOMIC_POSITIONS crystal
Cs 0.0000 0.6759 0.1759
Cs 0.0000 0.3241 0.8241
Cs 0.0000 0.1759 0.3241
Cs 0.0000 0.8241 0.6759
K 0.5000 0.2127 0.0703
K 0.5000 0.7873 0.9297
K 0.5000 0.0703 0.7873
K 0.5000 0.7127 0.4297
K 0.5000 0.9297 0.2127
K 0.5000 0.2873 0.5703
K 0.5000 0.5703 0.7127
K 0.5000 0.4297 0.2873
K 0.5000 0.5000 0.0000
K 0.5000 0.0000 0.5000
Rb 0.0000 0.0000 0.0000
Rb 0.0000 0.5000 0.5000
Na 0.0000 0.1157 0.6157
Na 0.0000 0.8843 0.3843
Na 0.0000 0.6157 0.8843
Na 0.0000 0.3843 0.1157
CELL_PARAMETERS angstrom
6.4630 0.0000 0.0000
0.0000 15.2534 0.0000
0.0000 0.0000 15.2534
! Total DFT energy (no corrections) ... -21.30 eV/cell
! Formation energy from the elements ... 1.5 kJ/mol of atoms
! Magnetic moment ... 0.0 Bohr magnetons per cell



Which of these has the highest magnetic moment? Sr3Pu2UN6



Among the records above, which one has the highest magnetic moment? Sr3Pu2UN6